Density functional theory data (PBE) for an optimized crystal structure of Sc2TaCl.

Cell: 10.7619 10.7619 10.7619 Å, 16.99 16.99 16.99°
Closest atoms and distances in Å follow each position.
Positions (direct):
Sc 0.0000 0.0000 0.0000  3 Ta 2.95, 6 Sc 3.18
Sc 0.2454 0.2454 0.2454  3 Cl 2.54
Ta 0.7392 0.7392 0.7392  3 Sc 2.95, 6 Ta 3.18
Cl 0.5236 0.5236 0.5236  3 Sc 2.54

Computed properties:
VASP energy = -27.10 eV per cell
DOS at the Fermi energy = 2.7 states/eV per cell
symmetry = No. 160
total moment = 0.38 μB per atom
volume = 23.22 Å³ per atom
E_form (uncorrected) = -0.184 eV per atom